(1)
Density functional theory data (GGA+U) for FeH2F6 after structural relaxation.

```
data_FeH2F6
_space_group_name_H-M_alt 'R 3'
_space_group_IT_number 146
_space_group_name_Hall 'R 3'
_cell_length_a 4.4403
_cell_length_b 4.4403
_cell_length_c 14.6113
_cell_angle_alpha 90.00
_cell_angle_beta 90.00
_cell_angle_gamma 120.00
loop_
_atom_site_label
_atom_site_type_symbol
_atom_site_fract_x
_atom_site_fract_y
_atom_site_fract_z
Fe1 Fe 0.0000 0.0000 0.0000
H1 H 0.0000 0.0000 0.5901
H2 H 0.0000 0.0000 0.7426
F1 F 0.0159 0.3684 0.2579
F2 F 0.0163 0.6484 0.4084
```

Properties
For the total magnetization, the calculation gives 2.00 μB per formula unit. The density of states at the Fermi level comes out at 13.27 states/eV per cell. For the calculated volume, the calculation gives 249.48 Å³ per cell. The value obtained for the calculated total energy is -3.94 eV per atom.

***

(2)
Density functional theory data (GGA+U) for FeH2F6 after structural relaxation.

```
data_FeH2F6
_space_group_name_H-M_alt 'C 1 2/c 1'
_space_group_IT_number 15
_cell_length_a 10.745
_cell_length_b 9.148
_cell_length_c 4.877
_cell_angle_alpha 90.00
_cell_angle_beta 97.13
_cell_angle_gamma 90.00
loop_
_space_group_symop_operation_xyz
'x,y,z'
'-x,-y,-z'
'-x,y,-z+1/2'
'x,-y,z+1/2'
'x+1/2,y+1/2,z'
'-x+1/2,-y+1/2,-z'
'-x+1/2,y+1/2,-z+1/2'
'x+1/2,-y+1/2,z+1/2'
loop_
_atom_site_label
_atom_site_type_symbol
_atom_site_fract_x
_atom_site_fract_y
_atom_site_fract_z
Fe1 Fe 0.000 0.100 0.250
H1 H 0.136 0.485 0.844
F1 F 0.097 0.054 0.620
F2 F 0.104 0.231 0.151
F3 F 0.135 0.445 0.660
```

Properties
For the total magnetization, the calculation gives 4.10 μB per formula unit. For the calculated volume, the calculation gives 475.73 Å³ per cell. The value obtained for the calculated total energy is -4.33 eV per atom.

***

(3)
Density functional theory data (GGA+U) for FeHF2 after structural relaxation.

```
data_FeHF2
_space_group_name_H-M_alt 'I -4 2 d'
_space_group_IT_number 122
_space_group_name_Hall 'I -4 2bw'
_cell_length_a 4.539
_cell_length_b 4.539
_cell_length_c 7.093
_cell_angle_alpha 90.00
_cell_angle_beta 90.00
_cell_angle_gamma 90.00
loop_
_atom_site_label
_atom_site_type_symbol
_atom_site_fract_x
_atom_site_fract_y
_atom_site_fract_z
Fe1 Fe 0.000 0.000 0.000
H1 H 0.000 0.000 0.500
F1 F 0.125 0.250 0.625
```

Properties
For the total magnetization, the calculation gives 3.26 μB per formula unit. The density of states at the Fermi level comes out at 7.49 states/eV per cell. For the calculated volume, the calculation gives 146.11 Å³ per cell. The value obtained for the calculated total energy is -3.81 eV per atom.

***

(4)
Density functional theory data (GGA+U) for FeHF3 after structural relaxation.

```
data_FeHF3
_space_group_name_H-M_alt 'P m -3 m'
_space_group_IT_number 221
_space_group_name_Hall '-P 4 2 3'
_cell_length_a 3.447
_cell_length_b 3.447
_cell_length_c 3.447
_cell_angle_alpha 90.00
_cell_angle_beta 90.00
_cell_angle_gamma 90.00
loop_
_atom_site_label
_atom_site_type_symbol
_atom_site_fract_x
_atom_site_fract_y
_atom_site_fract_z
Fe1 Fe 0.000 0.000 0.000
H1 H 0.500 0.500 0.500
F1 F 0.000 0.500 0.500
```

Properties
For the total magnetization, the calculation gives 4.00 μB per formula unit. The density of states at the Fermi level comes out at 5.79 states/eV per cell. For the calculated volume, the calculation gives 40.96 Å³ per cell. The value obtained for the calculated total energy is -4.03 eV per atom.